Entry 1:
CePa2Ge | PBE-GGA | optimized geometry

Output
The value obtained for the uncorrected energy is -7.6581 eV per atom. For the density of states at the Fermi level, the calculation gives 10.2 states/eV/cell. Its energy of formation is -272.3 meV/atom. The polymorph energy (0 for the lowest one) is 0.052 eV/atom.

abc: 4.471 4.471 4.613
angles: 90.00 90.00 90.00
Space group P4/mmm (No. 123)
Unique sites:
Ce 0.000 0.000 0.000 x1
Pa 0.000 0.500 0.500 x2
Ge 0.500 0.500 0.000 x1



Entry 2:
CePa5Ge6 | PBE-GGA | optimized geometry

Output
The value obtained for the uncorrected energy is -7.2333 eV per atom. For the density of states at the Fermi level, the calculation gives 35.6 states/eV/cell. Its energy of formation is -473.5 meV/atom.

abc: 7.190 12.453 7.192
angles: 90.00 109.47 90.00
Space group C2/m (No. 12)
Unique sites:
Ce 0.000 0.000 0.000 x2
Pa 0.000 0.165 0.500 x4
Pa 0.000 0.333 0.000 x4
Pa 0.000 0.500 0.500 x2
Ge 0.246 0.331 0.747 x8
Ge 0.246 0.500 0.252 x4



Entry 3:
CePa2Ge | PBE-GGA | optimized geometry

Output
The value obtained for the uncorrected energy is -7.5035 eV per atom. For the density of states at the Fermi level, the calculation gives 11.6 states/eV/cell. Its energy of formation is -117.8 meV/atom. The polymorph energy (0 for the lowest one) is 0.207 eV/atom.

abc: 3.868 3.868 6.483
angles: 90.00 90.00 90.00
Space group P4/mmm (No. 123)
Unique sites:
Ce 0.000 0.000 0.000 x1
Pa 0.500 0.500 0.283 x2
Ge 0.000 0.000 0.500 x1



Entry 4:
Ce2PaGe | PBE-GGA | optimized geometry

Output
The value obtained for the uncorrected energy is -6.5363 eV per atom. For the density of states at the Fermi level, the calculation gives 44.7 states/eV/cell. Its energy of formation is -41.1 meV/atom. The polymorph energy (0 for the lowest one) is 0.263 eV/atom.

abc: 7.304 7.304 7.304
angles: 90.00 90.00 90.00
Space group Fm-3m (No. 225)
Unique sites:
Ce 0.250 0.250 0.250 x8
Pa 0.000 0.000 0.000 x4
Ge 0.000 0.000 0.500 x4



Entry 5:
Ce2PaGe2 | PBE-GGA | optimized geometry

Output
The value obtained for the uncorrected energy is -6.4300 eV per atom. For the density of states at the Fermi level, the calculation gives 20.1 states/eV/cell. Its energy of formation is -310.3 meV/atom. The polymorph energy (0 for the lowest one) is 0.232 eV/atom.

abc: 4.826 13.605 3.864
angles: 90.00 90.00 90.00
Space group Cmmm (No. 65)
Unique sites:
Ce 0.000 0.159 0.000 x4
Pa 0.000 0.500 0.000 x2
Ge 0.000 0.339 0.500 x4



Entry 6:
Ce5PaGe5 | PBE-GGA | optimized geometry

Output
The value obtained for the uncorrected energy is -6.1566 eV per atom. For the density of states at the Fermi level, the calculation gives 49.4 states/eV/cell. Its energy of formation is -497.3 meV/atom.

abc: 13.277 5.941 8.382
angles: 90.00 108.46 90.00
Space group C2/m (No. 12)
Unique sites:
Ce 0.000 0.000 0.000 x2
Ce 0.167 0.500 0.333 x4
Ce 0.168 0.500 0.833 x4
Pa 0.000 0.000 0.500 x2
Ge 0.000 0.500 0.500 x2
Ge 0.164 0.000 0.334 x4
Ge 0.164 0.000 0.830 x4



Entry 7:
Ce2PaGe | PBE-GGA | optimized geometry

Output
The value obtained for the uncorrected energy is -6.7995 eV per atom. For the density of states at the Fermi level, the calculation gives 10.9 states/eV/cell. Its energy of formation is -304.2 meV/atom. The polymorph energy (0 for the lowest one) is 0.000 eV/atom.

abc: 4.549 4.549 4.556
angles: 90.00 90.00 90.00
Space group P4/mmm (No. 123)
Unique sites:
Ce 0.000 0.500 0.000 x2
Pa 0.000 0.000 0.500 x1
Ge 0.500 0.500 0.500 x1



Entry 8:
CePa2Ge | PBE-GGA | optimized geometry

Output
The value obtained for the uncorrected energy is -7.7101 eV per atom. For the density of states at the Fermi level, the calculation gives 37.8 states/eV/cell. Its energy of formation is -324.4 meV/atom. The polymorph energy (0 for the lowest one) is 0.000 eV/atom.

abc: 4.298 21.374 4.346
angles: 90.00 90.00 90.00
Space group Cmcm (No. 63)
Unique sites:
Ce 0.000 0.192 0.250 x4
Pa 0.000 0.058 0.750 x4
Pa 0.000 0.438 0.750 x4
Ge 0.000 0.335 0.250 x4



- Which value of energy of formation does entry 6 give?
  -497.3 meV/atom



- What is the formula in the second record?
  CePa5Ge6